Record 1
DFT (GGA-PBE) results for an optimized crystal structure of PtRhO2.

Structure (POSCAR):
```
PtRhO2
1.0
5.4662 0.0000 0.0000
0.0000 5.4662 0.0000
2.7331 2.7331 3.4764
O Pt Rh
4 2 2
Cartesian
4.0996 4.1784 2.6073
4.0209 1.3665 0.8691
1.4453 4.0996 0.8691
6.8327 6.7540 2.6073
0.0000 0.0000 0.0000
5.4662 2.7331 1.7382
2.7331 2.7331 0.0000
2.7331 5.4662 1.7382
```

The calculation puts the total energy at -5.56 eV/atom. Its symmetry is I-42d, No. 122. For the energy relative to the elements, uncorrected, the calculation gives 103 kJ/mol of formula units.

---

Record 2
DFT (GGA-PBE) results for an optimized crystal structure of PtRhO3.

Structure (POSCAR):
```
PtRhO3
1.0
3.9396 0.0000 0.0000
0.0000 3.9396 0.0000
0.0000 0.0000 3.9396
Rh O Pt
1 3 1
Cartesian
1.9698 1.9698 1.9698
1.9698 0.0000 0.0000
0.0000 0.0000 1.9698
0.0000 1.9698 0.0000
0.0000 0.0000 0.0000
```

The calculation puts the total energy at -5.14 eV/atom. Its symmetry is Pm-3m, No. 221. For the energy relative to the elements, uncorrected, the calculation gives 247 kJ/mol of formula units.

---

Record 3
DFT (GGA-PBE) results for an optimized crystal structure of PtRhO2.

Structure (POSCAR):
```
PtRhO2
1.0
0.0000 2.8166 2.8166
2.8166 0.0000 2.8166
2.8166 2.8166 0.0000
O Pt Rh
2 1 1
Cartesian
1.4083 1.4083 1.4083
4.2249 4.2249 4.2249
2.8166 2.8166 2.8166
0.0000 0.0000 0.0000
```

The calculation puts the total energy at -5.20 eV/atom. Its symmetry is Fm-3m, No. 225. For the energy relative to the elements, uncorrected, the calculation gives 244 kJ/mol of formula units.

---

Record 4
DFT (GGA-PBE) results for an optimized crystal structure of PtRhO3.

Structure (POSCAR):
```
PtRhO3
1.0
-1.8622 2.6584 -2.1221
-3.3992 -1.3646 1.2735
0.1263 2.4716 2.9855
Rh O Pt
1 3 1
Cartesian
0.0000 0.0000 0.0000
-0.9311 1.3292 -1.0610
-1.6996 -0.6823 0.6367
0.0631 1.2358 1.4928
-2.5676 1.8827 1.0685
```

The calculation puts the total energy at -5.22 eV/atom. Its symmetry is Pm-3m, No. 221. For the energy relative to the elements, uncorrected, the calculation gives 207 kJ/mol of formula units.